Entry 1:
# PmHoGaSn GGA-PBE optimized geometry
data_PmHoGaSn
_chemical_formula_sum 'Pm1 Ho1 Ga1 Sn1'
_space_group_name_H-M_alt 'P 1'
_space_group_IT_number 1
_cell_length_a 4.1941
_cell_length_b 6.0775
_cell_length_c 6.0775
_cell_angle_alpha 43.61
_cell_angle_beta 90.00
_cell_angle_gamma 90.00
loop_
_space_group_symop_operation_xyz
'x,y,z'
loop_
_atom_site_label
_atom_site_fract_x
_atom_site_fract_y
_atom_site_fract_z
Pm1 0.0000 0.0000 0.0000
Ho1 0.5000 0.2785 0.2785
Ga1 0.5000 0.5515 0.5515
Sn1 0.0000 0.7169 0.7169
# V (Å³/atom): 26.71
# E_tot (eV/atom): -4.79
# Calculated formation energy (eV/atom): -0.70
# Energy relative to the lowest polymorph listed for this composition (meV/atom): 0
# Symmetry: Amm2

Entry 2:
# La4AgPd GGA-PBE optimized geometry
data_La4AgPd
_chemical_formula_sum 'La8 Ag2 Pd2'
_space_group_name_H-M_alt 'P 1'
_space_group_IT_number 1
_cell_length_a 8.9731
_cell_length_b 8.9731
_cell_length_c 7.1355
_cell_angle_alpha 105.72
_cell_angle_beta 105.72
_cell_angle_gamma 122.61
loop_
_space_group_symop_operation_xyz
'x,y,z'
loop_
_atom_site_label
_atom_site_fract_x
_atom_site_fract_y
_atom_site_fract_z
La1 0.0275 0.5823 0.7972
La2 0.1973 0.2940 0.7409
La3 0.2940 0.1973 0.2409
La4 0.4177 0.9725 0.7028
La5 0.5823 0.0275 0.2972
La6 0.7060 0.8027 0.7591
La7 0.8027 0.7060 0.2591
La8 0.9725 0.4177 0.2028
Ag1 0.3929 0.6071 0.2500
Ag2 0.6071 0.3929 0.7500
Pd1 0.0816 0.9184 0.7500
Pd2 0.9184 0.0816 0.2500
# V (Å³/atom): 33.30
# E_tot (eV/atom): -4.84
# Calculated formation energy (eV/atom): -0.22
# Energy relative to the lowest polymorph listed for this composition (meV/atom): 117
# Symmetry: C2/c

Entry 3:
# PmPuZn2 GGA-PBE optimized geometry
data_PmPuZn2
_chemical_formula_sum 'Pm1 Pu1 Zn2'
_space_group_name_H-M_alt 'P 1'
_space_group_IT_number 1
_cell_length_a 5.1202
_cell_length_b 5.1202
_cell_length_c 5.1202
_cell_angle_alpha 60.00
_cell_angle_beta 60.00
_cell_angle_gamma 60.00
loop_
_space_group_symop_operation_xyz
'x,y,z'
loop_
_atom_site_label
_atom_site_fract_x
_atom_site_fract_y
_atom_site_fract_z
Pm1 0.0000 0.0000 0.0000
Pu1 0.5000 0.5000 0.5000
Zn1 0.2500 0.2500 0.2500
Zn2 0.7500 0.7500 0.7500
# V (Å³/atom): 23.73
# E_tot (eV/atom): -5.56
# Calculated formation energy (eV/atom): -0.15
# Energy relative to the lowest polymorph listed for this composition (meV/atom): 19
# Symmetry: Fm-3m

Q: Which value of calculated formation energy does entry 2 give?
A: -0.22 eV/atom

Q: The highest calculated formation energy belongs to which entry?
A: PmPuZn2

Q: energy relative to the lowest polymorph listed for this composition of number 3 (PmPuZn2)?
A: 19 meV/atom